# 1
10
Lattice="6.584 0.000 0.000 0.000 6.584 0.000 0.000 0.000 5.176" Properties=species:S:1:pos:R:3 comment="Li2Tl2P | Alexandria | PBE | relaxed" formation_enthalpy_0k_ev_per_atom=-0.181 magmom_total_mub_per_atom=0.000 sg=P4/mbm e_above_lowest_polymorph_ev_per_atom=0.000 pbc="T T T"
P 0.000 0.000 0.000
P 3.292 3.292 0.000
Tl 1.197 4.489 2.588
Tl 4.489 5.387 2.588
Tl 5.387 2.095 2.588
Tl 2.095 1.197 2.588
Li 2.164 5.456 0.000
Li 5.456 4.420 0.000
Li 4.420 1.128 0.000
Li 1.128 2.164 0.000

---

# 2
4
Lattice="3.847 0.000 0.000 0.000 3.847 0.000 0.000 0.000 7.767" Properties=species:S:1:pos:R:3 comment="PrThCd2 | Alexandria | PBE | relaxed" formation_enthalpy_0k_ev_per_atom=-0.184 magmom_total_mub_per_atom=0.029 sg=P4/mmm e_above_lowest_polymorph_ev_per_atom=0.000 pbc="T T T"
Pr 1.923 1.923 3.884
Th 1.923 1.923 0.000
Cd 0.000 0.000 5.824
Cd 0.000 0.000 1.943

---

# 3
4
Lattice="-4.035 -0.913 2.792 -4.557 0.856 -1.846 -2.997 -3.830 -1.123" Properties=species:S:1:pos:R:3 comment="RbRhAu2 | Alexandria | PBE | relaxed" formation_enthalpy_0k_ev_per_atom=0.598 magmom_total_mub_per_atom=0.000 sg=Fm-3m e_above_lowest_polymorph_ev_per_atom=0.299 pbc="T T T"
Rh -5.795 -1.943 -0.088
Au -2.897 -0.972 -0.044
Au -8.692 -2.915 -0.132
Rb 0.000 0.000 0.000

---

# 4
6
Lattice="1.106 1.917 5.235 -3.856 -0.623 4.129 0.938 -3.675 4.233" Properties=species:S:1:pos:R:3 comment="NiRhCl4 | Alexandria | PBE | relaxed" e_form_raw_ev_per_fu=7.74 magmom_total_mub_per_atom=0.262 sg=F-43m e_above_lowest_polymorph_ev_per_atom=1.747 pbc="T T T"
Ni -1.359 -1.786 10.198
Rh 0.000 0.000 0.000
Cl -0.125 0.067 7.717
Cl -0.210 -2.731 7.216
Cl -2.609 -1.204 7.163
Cl -0.679 -0.893 5.097